<w>
A relaxed structure of KNa8Au2. Source: Alexandria via LeMat-Bulk, functional GGA-PBE.

a b c (Å): 6.3202 8.8751 8.8750
angles (deg): 48.48 95.02 95.02
With the nearest neighbours (Å) after each atom.
Sites, in units of the cell vectors:
1 K 0.0000 0.0000 0.0000  10 Na 3.73-4.01
2 Na 0.4300 0.3834 0.8603  2 Au 2.97-3.04
3 Na 0.5700 0.1397 0.6166  2 Au 2.97-3.04
4 Na 0.1674 0.7742 0.7742  2 Au 3.03-3.34, 1 Na 3.39
5 Na 0.8326 0.2258 0.2258  2 Au 3.03-3.34, 1 Na 3.39
6 Na 0.4300 0.8603 0.3834  2 Au 2.97-3.04
7 Na 0.5700 0.6166 0.1397  2 Au 2.97-3.04
8 Na 0.8762 0.5874 0.5874  1 Au 2.99
9 Na 0.1238 0.4126 0.4126  1 Au 2.99
10 Au 0.6862 0.7494 0.7494  6 Na 2.97-3.04
11 Au 0.3138 0.2506 0.2506  6 Na 2.97-3.04

Values from the calculation:
**Space group**: C2/m (12)

***

<x>
A relaxed structure of KNa8Au2. Source: Alexandria via LeMat-Bulk, functional GGA-PBE.

a b c (Å): 5.9540 8.4098 8.4098
angles (deg): 112.26 97.01 97.01
With the nearest neighbours (Å) after each atom.
Sites, in units of the cell vectors:
1 K 0.5000 0.0000 0.0000  12 Na 3.80-4.06
2 Na 0.9193 0.9380 0.6573  2 Au 3.00-3.04
3 Na 0.9193 0.6573 0.9380  2 Au 3.00-3.04
4 Na 0.2678 0.5808 0.5808  2 Au 3.06, 2 Na 3.22-3.43
5 Na 0.5000 0.7279 0.2721  2 Au 3.03
6 Na 0.5000 0.2721 0.7279  2 Au 3.03
7 Na 0.7322 0.4192 0.4192  2 Au 3.06, 2 Na 3.22-3.43
8 Na 0.0807 0.3427 0.0620  2 Au 3.00-3.04
9 Na 0.0807 0.0620 0.3427  2 Au 3.00-3.04
10 Au 0.0000 0.3132 0.6868  8 Na 3.00-3.06
11 Au 0.0000 0.6868 0.3132  8 Na 3.00-3.06

Values from the calculation:
**Space group**: C2/m (12)

***

How far above the most stable structure does each one sit? In eV/atom: <w> 0.020; <x> 0.000.